# 1
DFT (PBE) results for crystalline InI3Br at its relaxed geometry.

abc: 6.0101 6.0101 6.0101
angles: 90.00 90.00 90.00
Space group Pm-3m (No. 221)
Symmetry-distinct sites (fractional):
In1 0.0000 0.0000 0.0000
I1 0.0000 0.5000 0.5000
Br1 0.5000 0.5000 0.5000

E_form (uncorrected) in eV/atom: 0.06
Distance to the lowest polymorph of the same formula in eV per atom: 0.423
Density in kg/m3: 4402

# 2
DFT (PBE) results for crystalline Cs3Tl5Pb2 at its relaxed geometry.

abc: 12.0377 17.1416 8.3245
angles: 90.00 90.00 90.00
Space group Ibam (No. 72)
Symmetry-distinct sites (fractional):
Cs1 0.0000 0.0000 0.2500
Cs2 0.2450 0.3724 0.0000
Tl1 0.0000 0.2645 0.2500
Tl2 0.0000 0.5000 0.2500
Tl3 0.1276 0.3820 0.5000
Pb1 0.1264 0.1643 0.0000

Calculated formation energy in eV/f.u.: -0.5
Density in kg/m3: 7096

| no. | volume (Å³/atom) |
| --- | --- |
| 1 | 43.4 |
| 2 | 42.9 |